VASP calculation (PBE) on crystalline Ca3CuRh2 at its relaxed geometry.

Cell: 6.8877 6.8877 6.8877 Å, 72.24 72.24 72.24°
Last column: nearest neighbours and their distance in Å.
Sites, in units of the cell vectors:
1 Ca 0.9244 0.5756 0.2500  4 Rh 2.95-2.99, 2 Cu 3.02
2 Ca 0.2500 0.9244 0.5756  4 Rh 2.95-2.99, 2 Cu 3.02
3 Ca 0.5756 0.2500 0.9244  4 Rh 2.95-2.99, 2 Cu 3.02
4 Ca 0.0756 0.4244 0.7500  4 Rh 2.95-2.99, 2 Cu 3.02
5 Ca 0.7500 0.0756 0.4244  4 Rh 2.95-2.99, 2 Cu 3.02
6 Ca 0.4244 0.7500 0.0756  4 Rh 2.95-2.99, 2 Cu 3.02
7 Cu 0.5000 0.5000 0.5000  2 Rh 2.47
8 Cu 0.0000 0.0000 0.0000  2 Rh 2.47
9 Rh 0.6633 0.6633 0.6633  1 Cu 2.47, 1 Rh 2.62
10 Rh 0.8367 0.8367 0.8367  1 Cu 2.47, 1 Rh 2.62
11 Rh 0.1633 0.1633 0.1633  1 Cu 2.47, 1 Rh 2.62
12 Rh 0.3367 0.3367 0.3367  1 Cu 2.47, 1 Rh 2.62

DFT total energy = -4.39 eV per atom
space group = No. 167

***

VASP calculation (PBE) on crystalline K4Tl3I8 at its relaxed geometry.

Cell: 9.9674 9.9660 9.9660 Å, 89.56 120.67 120.67°
Last column: nearest neighbours and their distance in Å.
Sites, in units of the cell vectors:
1 K 0.5000 0.0000 0.0000  6 I 3.53-3.60
2 K 0.0000 0.5000 0.0000  6 I 3.47-3.54
3 K 0.0000 0.0000 0.0000  6 I 3.49-3.52
4 K 0.0000 0.0000 0.5000  6 I 3.47-3.54
5 Tl 0.5000 0.5000 0.0000  6 I 3.47-3.54
6 Tl 0.5000 0.0000 0.5000  6 I 3.47-3.54
7 Tl 0.5000 0.5000 0.5000  6 I 3.38-3.49
8 I 0.5070 0.2577 0.2577  3 Tl 3.48-3.51, 2 K 3.51-3.60
9 I 0.0000 0.7493 0.2507  2 Tl 3.47, 3 K 3.52-3.54
10 I 0.0131 0.2535 0.2535  1 Tl 3.38, 4 K 3.49-3.56
11 I 0.5000 0.7485 0.2515  3 K 3.47-3.53, 3 Tl 3.49-3.54
12 I 0.5000 0.2515 0.7485  3 K 3.47-3.53, 3 Tl 3.49-3.54
13 I 0.9869 0.7465 0.7465  1 Tl 3.38, 4 K 3.49-3.56
14 I 0.0000 0.2507 0.7493  2 Tl 3.47, 3 K 3.52-3.54
15 I 0.4930 0.7423 0.7423  3 Tl 3.48-3.51, 2 K 3.51-3.60

energy relative to the elements, uncorrected = -1.009 eV per atom
space group = No. 12

***

VASP calculation (PBE) on crystalline Nd4Y2Sn3N2 at its relaxed geometry.

Cell: 4.8644 4.8644 13.1798 Å, 100.63 100.63 90.00°
Last column: nearest neighbours and their distance in Å.
Sites, in units of the cell vectors:
1 Nd 0.4140 0.9140 0.8280  2 N 2.49
2 Nd 0.9140 0.4140 0.8280  2 N 2.49
3 Nd 0.0860 0.5860 0.1720  2 N 2.49
4 Nd 0.5860 0.0860 0.1720  2 N 2.49
5 Y 0.3060 0.3060 0.6120  1 N 2.22
6 Y 0.6940 0.6940 0.3880  1 N 2.22
7 Sn 0.0000 0.0000 0.0000  8 Nd 3.27
8 Sn 0.1797 0.1797 0.3593  5 Y 3.22-3.46, 4 Nd 3.40
9 Sn 0.8203 0.8203 0.6407  5 Y 3.22-3.46, 4 Nd 3.40
10 N 0.3933 0.3933 0.7866  1 Y 2.22
11 N 0.6067 0.6067 0.2134  1 Y 2.22

energy relative to the elements, uncorrected = -0.935 eV per atom
space group = No. 139

***

VASP calculation (PBE) on crystalline PmPrSm6Ho2 at its relaxed geometry.

Cell: 9.6853 8.9083 8.9083 Å, 117.18 93.68 93.68°
Last column: nearest neighbours and their distance in Å.
Sites, in units of the cell vectors:
1 Pm 0.2500 0.4078 0.5922  6 Sm 3.47-3.58, 2 Ho 3.58
2 Pm 0.7500 0.5922 0.4078  6 Sm 3.47-3.58, 2 Ho 3.58
3 Pr 0.2500 0.9700 0.0300  4 Ho 3.43-3.48, 4 Sm 3.59-3.71
4 Pr 0.7500 0.0300 0.9700  4 Ho 3.43-3.48, 4 Sm 3.59-3.71
5 Sm 0.0563 0.1139 0.7548  7 Sm 3.44-3.80, 1 Ho 3.53, 2 Pr 3.71-3.85
6 Sm 0.4437 0.2452 0.8861  7 Sm 3.44-3.80, 1 Ho 3.53, 2 Pr 3.71-3.85
7 Sm 0.9437 0.8861 0.2452  7 Sm 3.44-3.80, 1 Ho 3.53, 2 Pr 3.71-3.85
8 Sm 0.5563 0.7548 0.1139  7 Sm 3.44-3.80, 1 Ho 3.53, 2 Pr 3.71-3.85
9 Sm 0.3182 0.9838 0.4370  2 Sm 3.25-3.58, 1 Ho 3.48, 1 Pm 3.50, 1 Pr 3.59
10 Sm 0.1818 0.5630 0.0162  2 Sm 3.25-3.58, 1 Ho 3.48, 1 Pm 3.50, 1 Pr 3.59
11 Sm 0.6818 0.0162 0.5630  2 Sm 3.25-3.58, 1 Ho 3.48, 1 Pm 3.50, 1 Pr 3.59
12 Sm 0.8182 0.4370 0.9838  2 Sm 3.25-3.58, 1 Ho 3.48, 1 Pm 3.50, 1 Pr 3.59
13 Sm 0.1189 0.7053 0.4868  4 Sm 3.25-3.63, 3 Ho 3.33-3.49, 2 Pm 3.47-3.58
14 Sm 0.3811 0.5132 0.2947  4 Sm 3.25-3.63, 3 Ho 3.33-3.49, 2 Pm 3.47-3.58
15 Sm 0.8811 0.2947 0.5132  4 Sm 3.25-3.63, 3 Ho 3.33-3.49, 2 Pm 3.47-3.58
16 Sm 0.6189 0.4868 0.7053  4 Sm 3.25-3.63, 3 Ho 3.33-3.49, 2 Pm 3.47-3.58
17 Ho 0.4521 0.8011 0.7018  6 Sm 3.33-3.64, 2 Pr 3.43-3.48, 1 Pm 3.58
18 Ho 0.0479 0.2982 0.1989  6 Sm 3.33-3.64, 2 Pr 3.43-3.48, 1 Pm 3.58
19 Ho 0.5479 0.1989 0.2982  6 Sm 3.33-3.64, 2 Pr 3.43-3.48, 1 Pm 3.58
20 Ho 0.9521 0.7018 0.8011  6 Sm 3.33-3.64, 2 Pr 3.43-3.48, 1 Pm 3.58

DFT total energy = -4.58 eV per atom
space group = No. 15

***

VASP calculation (PBE) on crystalline Ba4P3 at its relaxed geometry.

Cell: 13.7290 13.7290 13.7290 Å, 161.33 161.33 26.52°
Last column: nearest neighbours and their distance in Å.
Sites, in units of the cell vectors:
1 Ba 0.8058 0.8058 0.0000  5 P 3.18-3.41
2 Ba 0.1942 0.1942 0.0000  5 P 3.18-3.41
3 Ba 0.5631 0.5631 0.0000  1 P 3.07, 1 Ba 3.37
4 Ba 0.4369 0.4369 0.0000  1 P 3.07, 1 Ba 3.37
5 P 0.0000 0.0000 0.0000  8 Ba 3.57
6 P 0.6781 0.6781 0.0000  6 Ba 3.07-3.41
7 P 0.3219 0.3219 0.0000  6 Ba 3.07-3.41

DFT total energy = -4.24 eV per atom
space group = No. 139

***

VASP calculation (PBE) on crystalline Th2Zn3 at its relaxed geometry.

Cell: 3.5903 4.5479 14.0891 Å, 90.00 97.32 90.00°
Last column: nearest neighbours and their distance in Å.
Sites, in units of the cell vectors:
1 Th 0.2885 0.7500 0.5770  7 Zn 3.14-3.36
2 Th 0.7115 0.2500 0.4230  7 Zn 3.14-3.36
3 Th 0.5715 0.7500 0.1431  12 Zn 3.17-3.24
4 Th 0.4285 0.2500 0.8569  12 Zn 3.17-3.24
5 Zn 0.1682 0.7500 0.3364  2 Zn 2.68
6 Zn 0.8318 0.2500 0.6636  2 Zn 2.68
7 Zn 0.8824 0.7500 0.7649  3 Zn 2.63-2.68
8 Zn 0.1176 0.2500 0.2351  3 Zn 2.63-2.68
9 Zn 0.0233 0.2500 0.0466  3 Zn 2.62-2.63
10 Zn 0.9767 0.7500 0.9534  3 Zn 2.62-2.63

DFT total energy = -3.96 eV per atom
space group = No. 63

***

VASP calculation (PBE) on crystalline NbIr2 at its relaxed geometry.

Cell: 3.9846 4.8442 5.5625 Å, 104.98 90.00 114.29°
Last column: nearest neighbours and their distance in Å.
Sites, in units of the cell vectors:
1 Nb 0.1518 0.3036 0.8102  10 Ir 2.73-2.95
2 Nb 0.8482 0.6964 0.1898  10 Ir 2.73-2.95
3 Ir 0.1713 0.3426 0.3233  5 Nb 2.74-2.81, 7 Ir 2.79-2.87
4 Ir 0.8287 0.6574 0.6767  5 Nb 2.74-2.81, 7 Ir 2.79-2.87
5 Ir 0.5000 0.0000 0.5000  4 Nb 2.73, 8 Ir 2.78-2.84
6 Ir 0.5000 0.0000 0.0000  6 Nb 2.77-2.95, 6 Ir 2.78-2.82

DFT total energy = -9.77 eV per atom
space group = No. 12

***

VASP calculation (PBE) on crystalline AsC3 at its relaxed geometry.

Cell: 3.5466 3.5466 3.5466 Å, 109.47 109.47 109.47°
Last column: nearest neighbours and their distance in Å.
Sites, in units of the cell vectors:
1 As 0.0000 0.0000 0.0000  6 C 2.05
2 C 0.5000 0.5000 0.0000  2 As 2.05, 4 C 2.05
3 C 0.0000 0.5000 0.5000  4 C 2.05, 2 As 2.05
4 C 0.5000 0.0000 0.5000  4 C 2.05, 2 As 2.05

DFT total energy = -5.63 eV per atom
space group = No. 229